Entry 1:
Density functional theory data (GGA-PBE) for crystalline VRe2Ge2 at its relaxed geometry.

```
data_VRe2Ge2
_symmetry_space_group_name_H-M 'P 4/m b m'
_symmetry_Int_Tables_number 127
_symmetry_space_group_name_Hall '-P 4 2ab'
_cell_length_a 7.0048
_cell_length_b 7.0048
_cell_length_c 3.0542
_cell_angle_alpha 90.00
_cell_angle_beta 90.00
_cell_angle_gamma 90.00
loop_
_atom_site_label
_atom_site_type_symbol
_atom_site_fract_x
_atom_site_fract_y
_atom_site_fract_z
_atom_site_occupancy
V1 V 0.0000 0.0000 0.0000 1
Re1 Re 0.1473 0.3527 0.5000 1
Ge1 Ge 0.1509 0.6509 0.0000 1
```

Entry 2:
Density functional theory data (GGA-PBE) for crystalline V4ReGe at its relaxed geometry.

```
data_V4ReGe
_symmetry_space_group_name_H-M 'C 1 2/m 1'
_symmetry_Int_Tables_number 12
_cell_length_a 6.9824
_cell_length_b 4.0114
_cell_length_c 7.3902
_cell_angle_alpha 90.00
_cell_angle_beta 108.47
_cell_angle_gamma 90.00
loop_
_symmetry_equiv_pos_as_xyz
'x,y,z'
'-x,-y,-z'
'-x,y,-z'
'x,-y,z'
'x+1/2,y+1/2,z'
'-x+1/2,-y+1/2,-z'
'-x+1/2,y+1/2,-z'
'x+1/2,-y+1/2,z'
loop_
_atom_site_label
_atom_site_type_symbol
_atom_site_fract_x
_atom_site_fract_y
_atom_site_fract_z
_atom_site_occupancy
V1 V 0.1216 0.0000 0.3645 1
V2 V 0.1234 0.5000 0.8683 1
Re1 Re 0.0000 0.5000 0.5000 1
Ge1 Ge 0.0000 0.0000 0.0000 1
```

Entry 3:
Density functional theory data (GGA-PBE) for crystalline V12ReGe6 at its relaxed geometry.

```
data_V12ReGe6
_symmetry_space_group_name_H-M 'R -3'
_symmetry_Int_Tables_number 148
_symmetry_space_group_name_Hall '-R 3'
_cell_length_a 11.2778
_cell_length_b 11.2778
_cell_length_c 7.6896
_cell_angle_alpha 90.00
_cell_angle_beta 90.00
_cell_angle_gamma 120.00
loop_
_atom_site_label
_atom_site_type_symbol
_atom_site_fract_x
_atom_site_fract_y
_atom_site_fract_z
_atom_site_occupancy
V1 V 0.0446 0.2364 0.4125 1
V2 V 0.0540 0.2355 0.7485 1
Re1 Re 0.0000 0.0000 0.5000 1
Ge1 Ge 0.0634 0.2333 0.0900 1
```

Entry 4:
Density functional theory data (GGA-PBE) for crystalline V12ReGe3 at its relaxed geometry.

```
data_V12ReGe3
_symmetry_space_group_name_H-M 'P m m m'
_symmetry_Int_Tables_number 47
_cell_length_a 4.7692
_cell_length_b 4.7712
_cell_length_c 9.5488
_cell_angle_alpha 90.00
_cell_angle_beta 90.00
_cell_angle_gamma 90.00
loop_
_symmetry_equiv_pos_as_xyz
'x,y,z'
'-x,-y,-z'
'-x,-y,z'
'x,y,-z'
'x,-y,-z'
'-x,y,z'
'-x,y,-z'
'x,-y,z'
loop_
_atom_site_label
_atom_site_type_symbol
_atom_site_fract_x
_atom_site_fract_y
_atom_site_fract_z
_atom_site_occupancy
V1 V 0.0000 0.0000 0.1221 1
V2 V 0.0000 0.0000 0.3721 1
V3 V 0.2462 0.5000 0.2487 1
V4 V 0.5000 0.2470 0.5000 1
V5 V 0.5000 0.2515 0.0000 1
Re1 Re 0.0000 0.5000 0.0000 1
Ge1 Ge 0.0000 0.5000 0.5000 1
Ge2 Ge 0.5000 0.0000 0.2514 1
```

Entry 5:
Density functional theory data (GGA-PBE) for crystalline VRe3Ge at its relaxed geometry.

```
data_VRe3Ge
_symmetry_space_group_name_H-M 'P m -3 m'
_symmetry_Int_Tables_number 221
_symmetry_space_group_name_Hall '-P 4 2 3'
_cell_length_a 4.5278
_cell_length_b 4.5278
_cell_length_c 4.5278
_cell_angle_alpha 90.00
_cell_angle_beta 90.00
_cell_angle_gamma 90.00
loop_
_atom_site_label
_atom_site_type_symbol
_atom_site_fract_x
_atom_site_fract_y
_atom_site_fract_z
_atom_site_occupancy
V1 V 0.0000 0.0000 0.0000 1
Re1 Re 0.0000 0.0000 0.5000 1
Ge1 Ge 0.5000 0.5000 0.5000 1
```

Entry 6:
Density functional theory data (GGA-PBE) for crystalline V5ReGe6 at its relaxed geometry.

```
data_V5ReGe6
_symmetry_space_group_name_H-M 'C 1 2/m 1'
_symmetry_Int_Tables_number 12
_cell_length_a 9.0565
_cell_length_b 9.7750
_cell_length_c 4.5945
_cell_angle_alpha 90.00
_cell_angle_beta 120.46
_cell_angle_gamma 90.00
loop_
_symmetry_equiv_pos_as_xyz
'x,y,z'
'-x,-y,-z'
'-x,y,-z'
'x,-y,z'
'x+1/2,y+1/2,z'
'-x+1/2,-y+1/2,-z'
'-x+1/2,y+1/2,-z'
'x+1/2,-y+1/2,z'
loop_
_atom_site_label
_atom_site_type_symbol
_atom_site_fract_x
_atom_site_fract_y
_atom_site_fract_z
_atom_site_occupancy
V1 V 0.0000 0.0000 0.0000 1
V2 V 0.0000 0.1716 0.5000 1
V3 V 0.0000 0.3371 0.0000 1
Re1 Re 0.0000 0.5000 0.5000 1
Ge1 Ge 0.2443 0.0000 0.7425 1
Ge2 Ge 0.2449 0.1667 0.2441 1
```

ΔH_f (0 K) values (in meV/atom) by entry order: 289; 335; -20; -312; 1773; -6.
Density values (in g/cm3) by entry order: 12.6; 7.8; 7.3; 7.8; 12.2; 8.3.